Record 1
Below is a PBEsol-optimized structure of Sr2TeF2, with properties calculated at the meta-GGA SCAN level.

Cell and atoms, written as POSCAR:
```
Sr2TeF2
1.0
-2.0591 2.0591 6.5485
2.0591 -2.0591 6.5485
2.0591 2.0591 -6.5485
Sr Te F
2 1 2
direct
0.1458 0.1458 0.0000
0.8542 0.8542 0.0000
0.5000 0.5000 0.0000
0.2500 0.7500 0.5000
0.7500 0.2500 0.5000
```

formation energy (no corrections): -3.287 eV/atom

Record 2
Below is a PBEsol-optimized structure of KCu2H2S2O10, with properties calculated at the meta-GGA SCAN level.

Cell and atoms, written as POSCAR:
```
KCu2H2S2O10
1.0
4.6261 -3.1139 0.0000
4.6261 3.1139 0.0000
-3.9619 0.0000 6.6250
K Cu H S O
1 2 2 2 10
direct
0.0000 0.0000 0.0000
0.0000 0.5000 0.5000
0.5000 0.0000 0.5000
0.2178 0.2178 0.7072
0.7822 0.7822 0.2928
0.4228 0.4228 0.2082
0.5772 0.5772 0.7918
0.1726 0.1726 0.5590
0.2692 0.6667 0.7342
0.3117 0.3117 0.9893
0.3264 0.3264 0.3119
0.3333 0.7308 0.2658
0.6667 0.2692 0.7342
0.6736 0.6736 0.6881
0.6883 0.6883 0.0107
0.7308 0.3333 0.2658
0.8274 0.8274 0.4410
```

Record 3
Below is a PBEsol-optimized structure of Rb2SeI, with properties calculated at the meta-GGA SCAN level.

Cell and atoms, written as POSCAR:
```
Rb2SeI
1.0
0.0000 4.2035 4.2035
4.2035 0.0000 4.2035
4.2035 4.2035 0.0000
Rb Se I
2 1 1
direct
0.2500 0.2500 0.2500
0.7500 0.7500 0.7500
0.0000 0.0000 0.0000
0.5000 0.5000 0.5000
```

formation energy (no corrections): -1.088 eV/atom

Record 4
Below is a PBEsol-optimized structure of ScTa2Hg, with properties calculated at the meta-GGA SCAN level.

Cell and atoms, written as POSCAR:
```
ScTa2Hg
1.0
4.0148 0.0000 0.0000
0.0000 4.0148 0.0000
0.0000 0.0000 4.6143
Sc Ta Hg
1 2 1
direct
0.0000 0.0000 0.0000
0.0000 0.5000 0.5000
0.5000 0.0000 0.5000
0.5000 0.5000 0.0000
```

energy of formation from the pure elements: 0.05 eV/atom

Record 5
Below is a PBEsol-optimized structure of Li2MgZn, with properties calculated at the meta-GGA SCAN level.

Cell and atoms, written as POSCAR:
```
Li2MgZn
1.0
3.0750 0.0000 0.0000
0.0000 3.4440 0.0000
0.0000 0.0000 6.4720
Li Mg Zn
2 1 1
direct
0.0000 0.0000 0.0000
0.5000 0.5000 0.2496
0.0000 0.0000 0.5374
0.5000 0.5000 0.7936
```

energy of formation from the pure elements: -0.12 eV/atom

Record 6
Below is a PBEsol-optimized structure of CsTe2Cl2, with properties calculated at the meta-GGA SCAN level.

Cell and atoms, written as POSCAR:
```
CsTe2Cl2
1.0
9.5289 0.0000 0.0000
0.0000 9.5289 0.0000
0.0000 0.0000 3.3963
Cs Te Cl
2 4 4
direct
0.0000 0.0000 0.0000
0.5000 0.5000 0.0000
0.1002 0.3998 0.0000
0.3998 0.8998 0.0000
0.6002 0.1002 0.0000
0.8998 0.6002 0.0000
0.2121 0.7121 0.5000
0.2879 0.2121 0.5000
0.7121 0.7879 0.5000
0.7879 0.2879 0.5000
```

formation energy (no corrections): -0.598 eV/atom

Record 7
Below is a PBEsol-optimized structure of Zn3NiSe, with properties calculated at the meta-GGA SCAN level.

Cell and atoms, written as POSCAR:
```
Zn3NiSe
1.0
4.4930 0.0000 0.0000
0.0000 4.4930 0.0000
0.0000 0.0000 4.4930
Zn Ni Se
3 1 1
direct
0.0000 0.0000 0.5000
0.0000 0.5000 0.0000
0.5000 0.0000 0.0000
0.0000 0.0000 0.0000
0.5000 0.5000 0.5000
```

formation energy (no corrections): 0.330 eV/atom

Record 8
Below is a PBEsol-optimized structure of Ir2RhSe, with properties calculated at the meta-GGA SCAN level.

Cell and atoms, written as POSCAR:
```
Ir2RhSe
1.0
4.5251 -1.4020 0.0000
4.5251 1.4020 0.0000
-1.0832 0.0000 4.5810
Ir Rh Se
2 1 1
direct
0.2429 0.2429 0.2548
0.7571 0.7571 0.7452
0.0000 0.0000 0.5000
0.5000 0.5000 0.0000
```

formation energy (no corrections): 0.355 eV/atom

Record 9
Below is a PBEsol-optimized structure of YCr2Ag, with properties calculated at the meta-GGA SCAN level.

Cell and atoms, written as POSCAR:
```
YCr2Ag
1.0
3.3491 0.0000 0.0000
0.0000 4.7054 0.0000
0.0000 0.0000 4.7884
Y Cr Ag
1 2 1
direct
0.0000 0.0000 0.0000
0.5000 0.1966 0.5000
0.5000 0.8034 0.5000
0.5000 0.5000 0.0000
```

energy of formation from the pure elements: 0.70 eV/atom

Record 10
Below is a PBEsol-optimized structure of YCoTc2Cl, with properties calculated at the meta-GGA SCAN level.

Cell and atoms, written as POSCAR:
```
YCoTc2Cl
1.0
4.2781 0.0000 0.0000
0.0000 4.2781 0.0000
0.0000 0.0000 4.8532
Y Co Tc Cl
1 1 2 1
direct
0.0000 0.0000 0.0000
0.5000 0.5000 0.0000
0.0000 0.5000 0.5000
0.5000 0.0000 0.5000
0.0000 0.0000 0.5000
```

formation energy (no corrections): 0.825 eV/atom

Record 11
Below is a PBEsol-optimized structure of AlAsRh, with properties calculated at the meta-GGA SCAN level.

Cell and atoms, written as POSCAR:
```
AlAsRh
1.0
-1.4468 1.4468 5.4436
1.4468 -1.4468 5.4436
1.4468 1.4468 -5.4436
Al As Rh
1 1 1
direct
0.0000 0.0000 0.0000
0.7001 0.7001 0.0000
0.3579 0.3579 0.0000
```

energy of formation from the pure elements: -0.44 eV/atom

Record 12
Below is a PBEsol-optimized structure of KTaW, with properties calculated at the meta-GGA SCAN level.

Cell and atoms, written as POSCAR:
```
KTaW
1.0
-1.3576 1.3576 8.6748
1.3576 -1.3576 8.6748
1.3576 1.3576 -8.6748
K Ta W
1 1 1
direct
0.0000 0.0000 0.0000
0.6938 0.6938 0.0000
0.3235 0.3235 0.0000
```

energy of formation from the pure elements: 1.14 eV/atom

Record 13
Below is a PBEsol-optimized structure of SrCo2TcH, with properties calculated at the meta-GGA SCAN level.

Cell and atoms, written as POSCAR:
```
SrCo2TcH
1.0
4.4222 0.0000 0.0000
0.0000 4.4222 0.0000
0.0000 0.0000 4.0140
Sr Co Tc H
1 2 1 1
direct
0.0000 0.0000 0.0000
0.0000 0.5000 0.5000
0.5000 0.0000 0.5000
0.5000 0.5000 0.5000
0.5000 0.5000 0.0000
```

Record 14
Below is a PBEsol-optimized structure of RbH2Pb, with properties calculated at the meta-GGA SCAN level.

Cell and atoms, written as POSCAR:
```
RbH2Pb
1.0
5.5715 0.0000 0.0000
0.0000 4.8518 0.0000
-2.6965 0.0000 6.9120
Rb H Pb
2 4 2
direct
0.0000 0.0000 0.0000
0.3032 0.5000 0.5495
0.0455 0.5000 0.8220
0.0581 0.0000 0.4134
0.2455 0.5000 0.1479
0.9220 0.5000 0.7278
0.5786 0.5000 0.1295
0.7165 0.0000 0.4154
```

Record 15
Below is a PBEsol-optimized structure of Tb2S3O12, with properties calculated at the meta-GGA SCAN level.

Cell and atoms, written as POSCAR:
```
Tb2S3O12
1.0
12.9315 0.0000 0.0000
0.0000 9.2603 0.0000
0.0000 0.0000 9.3454
Tb S O
8 12 48
direct
0.1174 0.2498 0.0352
0.1174 0.7502 0.5352
0.3826 0.2502 0.5352
0.3826 0.7498 0.0352
0.6174 0.2502 0.9648
0.6174 0.7498 0.4648
0.8826 0.2498 0.4648
0.8826 0.7502 0.9648
0.0000 0.0328 0.7500
0.0000 0.9672 0.2500
0.1447 0.3912 0.3892
0.1447 0.6088 0.8892
0.3553 0.1088 0.8892
0.3553 0.8912 0.3892
0.5000 0.4672 0.2500
0.5000 0.5328 0.7500
0.6447 0.1088 0.6108
0.6447 0.8912 0.1108
0.8553 0.3912 0.1108
0.8553 0.6088 0.6108
0.0422 0.3333 0.4278
0.0422 0.6667 0.9278
0.0595 0.1252 0.8486
0.0595 0.8748 0.3486
0.0728 0.0585 0.1685
0.0728 0.9415 0.6685
0.1456 0.4505 0.9087
0.1456 0.5495 0.4087
0.1680 0.3578 0.2380
0.1680 0.6422 0.7380
0.2237 0.3254 0.4828
0.2237 0.6746 0.9828
0.2763 0.1746 0.9828
0.2763 0.8254 0.4828
0.3320 0.1422 0.7380
0.3320 0.8578 0.2380
0.3544 0.0495 0.4087
0.3544 0.9505 0.9087
0.4272 0.4415 0.6685
0.4272 0.5585 0.1685
0.4405 0.3748 0.3486
0.4405 0.6252 0.8486
0.4578 0.1667 0.9278
0.4578 0.8333 0.4278
0.5422 0.1667 0.5722
0.5422 0.8333 0.0722
0.5595 0.3748 0.1514
0.5595 0.6252 0.6514
0.5728 0.4415 0.8315
0.5728 0.5585 0.3315
0.6456 0.0495 0.0913
0.6456 0.9505 0.5913
0.6680 0.1422 0.7620
0.6680 0.8578 0.2620
0.7237 0.1746 0.5172
0.7237 0.8254 0.0172
0.7763 0.3254 0.0172
0.7763 0.6746 0.5172
0.8320 0.3578 0.2620
0.8320 0.6422 0.7620
0.8544 0.4505 0.5913
0.8544 0.5495 0.0913
0.9272 0.0585 0.3315
0.9272 0.9415 0.8315
0.9405 0.1252 0.6514
0.9405 0.8748 0.1514
0.9578 0.3333 0.0722
0.9578 0.6667 0.5722
```

formation energy (no corrections): -2.412 eV/atom

Record 16
Below is a PBEsol-optimized structure of CoNi2Sb, with properties calculated at the meta-GGA SCAN level.

Cell and atoms, written as POSCAR:
```
CoNi2Sb
1.0
3.6342 0.0000 0.0000
0.0000 3.6342 0.0000
0.0000 0.0000 3.7171
Co Ni Sb
1 2 1
direct
0.0000 0.0000 0.0000
0.0000 0.5000 0.5000
0.5000 0.0000 0.5000
0.5000 0.5000 0.0000
```

formation energy (no corrections): -0.009 eV/atom

Record 17
Below is a PBEsol-optimized structure of InAgP2O7, with properties calculated at the meta-GGA SCAN level.

Cell and atoms, written as POSCAR:
```
InAgP2O7
1.0
7.4413 0.0000 0.0000
0.0000 8.3880 0.0000
-3.6015 0.0000 9.1531
In Ag P O
4 4 8 28
direct
0.2451 0.0027 0.2446
0.2451 0.4973 0.7446
0.7549 0.5027 0.2554
0.7549 0.9973 0.7554
0.1986 0.0347 0.6885
0.1986 0.4653 0.1885
0.8014 0.5347 0.8115
0.8014 0.9653 0.3115
0.1783 0.7081 0.4446
0.1783 0.7919 0.9446
0.4159 0.2447 0.5380
0.4159 0.2553 0.0380
0.5841 0.7447 0.9620
0.5841 0.7553 0.4620
0.8217 0.2082 0.0554
0.8217 0.2918 0.5554
0.0486 0.5853 0.3399
0.0486 0.9147 0.8399
0.1337 0.6181 0.8913
0.1337 0.8819 0.3913
0.1923 0.6988 0.6026
0.1923 0.8012 0.1026
0.2944 0.1377 0.0825
0.2944 0.3623 0.5825
0.3264 0.2100 0.3751
0.3264 0.2900 0.8751
0.3836 0.6629 0.4336
0.3836 0.8371 0.9336
0.4660 0.0932 0.6347
0.4660 0.4068 0.1347
0.5340 0.5932 0.8653
0.5340 0.9068 0.3653
0.6164 0.1629 0.0664
0.6164 0.3371 0.5664
0.6736 0.7100 0.1249
0.6736 0.7900 0.6249
0.7056 0.6377 0.4175
0.7056 0.8623 0.9175
0.8077 0.1988 0.8974
0.8077 0.3012 0.3974
0.8663 0.1181 0.6087
0.8663 0.3819 0.1087
0.9514 0.0853 0.1601
0.9514 0.4147 0.6601
```

formation energy (no corrections): -2.073 eV/atom

Record 18
Below is a PBEsol-optimized structure of CsMg3Sb, with properties calculated at the meta-GGA SCAN level.

Cell and atoms, written as POSCAR:
```
CsMg3Sb
1.0
5.7916 0.0000 0.0000
0.0000 5.7916 0.0000
0.0000 0.0000 5.7916
Cs Mg Sb
1 3 1
direct
0.0000 0.0000 0.0000
0.0000 0.5000 0.5000
0.5000 0.0000 0.5000
0.5000 0.5000 0.0000
0.5000 0.5000 0.5000
```

formation energy (no corrections): 0.248 eV/atom

Record 19
Below is a PBEsol-optimized structure of Li3Cr3FeO8, with properties calculated at the meta-GGA SCAN level.

Cell and atoms, written as POSCAR:
```
Li3Cr3FeO8
1.0
4.9469 -2.8535 0.0000
4.9469 2.8535 0.0000
-3.3343 0.0000 4.7639
Li Cr Fe O
3 3 1 8
direct
0.0000 0.0000 0.0000
0.0000 0.5000 0.0000
0.5000 0.0000 0.0000
0.0000 0.0000 0.5000
0.0000 0.5000 0.5000
0.5000 0.0000 0.5000
0.5000 0.5000 0.5000
0.2375 0.2375 0.7166
0.2415 0.7413 0.7154
0.2585 0.2585 0.2745
0.2587 0.7585 0.2846
0.7413 0.2415 0.7154
0.7415 0.7415 0.7255
0.7585 0.2587 0.2846
0.7625 0.7625 0.2834
```

formation energy (no corrections): -2.272 eV/atom

Record 20
Below is a PBEsol-optimized structure of LaScCu2, with properties calculated at the meta-GGA SCAN level.

Cell and atoms, written as POSCAR:
```
LaScCu2
1.0
2.2709 1.3111 4.6920
-2.2709 1.3111 4.6920
0.0000 -2.6222 4.6920
La Sc Cu
1 1 2
direct
0.0000 0.0000 0.0000
0.5000 0.5000 0.5000
0.2046 0.2046 0.2046
0.7954 0.7954 0.7954
```

energy of formation from the pure elements: -0.22 eV/atom

Record 21
Below is a PBEsol-optimized structure of K2NiPb, with properties calculated at the meta-GGA SCAN level.

Cell and atoms, written as POSCAR:
```
K2NiPb
1.0
3.6167 0.0000 0.0000
0.0000 3.6167 0.0000
0.0000 0.0000 10.0239
K Ni Pb
2 1 1
direct
0.0000 0.0000 0.0000
0.5000 0.5000 0.4151
0.0000 0.0000 0.6634
0.5000 0.5000 0.7477
```

energy of formation from the pure elements: 0.17 eV/atom

Record 22
Below is a PBEsol-optimized structure of K2Te2Au, with properties calculated at the meta-GGA SCAN level.

Cell and atoms, written as POSCAR:
```
K2Te2Au
1.0
-3.4110 3.4110 4.1931
3.4110 -3.4110 4.1931
3.4110 3.4110 -4.1931
K Te Au
2 2 1
direct
0.2500 0.7500 0.5000
0.7500 0.2500 0.5000
0.1926 0.1926 0.0000
0.8074 0.8074 0.0000
0.5000 0.5000 0.0000
```

formation energy (no corrections): -0.658 eV/atom

no.,E_tot (eV/atom)
1,-21.0635
2,-8.8478
3,-25.6630
4,-53.8458
5,-5.9338
6,-26.2517
7,-15.0298
8,-48.6569
9,-23.2933
10,-23.8243
11,-21.0094
12,-47.0650
13,-18.2805
14,-26.0216
15,-14.0107
16,-21.7367
17,-13.8162
18,-17.7508
19,-10.9586
20,-22.1544
21,-26.9864
22,-32.7216